This record from Alexandria via LeMat-Bulk describes crystalline MgNiRh3 at its relaxed geometry. The functional is GGA-PBE.

Structure (POSCAR):
```
MgNiRh3
1.0
4.466 0.000 0.000
0.000 4.466 0.000
0.000 0.000 4.466
Mg Ni Rh
1 1 3
direct
0.000 0.000 0.000 Mg
0.500 0.500 0.500 Ni
0.000 0.000 0.500 Rh
0.000 0.500 0.000 Rh
0.500 0.000 0.000 Rh
```

Computed properties:
The density is 7.30 g cm⁻³. As for the formation energy: 1.349 eV/atom. The value obtained for the size of the total moment is 3.35 μB per cell. As for the excess energy over the best structure of this formula in the dataset: 59.4 kJ/mol of atoms.